The following is a DFT calculation (PBE) of CdS6O2 after structural relaxation.

abc: 8.961 8.961 10.331
angles: 124.60 124.60 57.10
Fractional positions:
Cd 0.185 0.815 0.750
Cd 0.815 0.185 0.250
S 0.028 0.775 0.857
S 0.154 0.487 0.808
S 0.225 0.972 0.643
S 0.400 0.498 0.040
S 0.487 0.154 0.308
S 0.498 0.400 0.540
S 0.502 0.600 0.460
S 0.513 0.846 0.692
S 0.600 0.502 0.960
S 0.775 0.028 0.357
S 0.846 0.513 0.192
S 0.972 0.225 0.143
O 0.303 0.495 0.550
O 0.495 0.303 0.050
O 0.505 0.697 0.950
O 0.697 0.505 0.450

Summary:
Its uncorrected energy is -76.25 eV per cell. The energy relative to the elements, uncorrected comes out at -0.281 eV/atom. Its space group is C2/c (15).

=====

The following is a DFT calculation (PBE) of YSb2Os after structural relaxation.

abc: 4.867 4.314 4.881
angles: 90.00 106.45 90.00
Fractional positions:
Y 0.000 0.000 0.000
Sb 0.302 0.500 0.699
Sb 0.698 0.500 0.301
Os 0.500 0.000 0.500

Summary:
Its uncorrected energy is -26.52 eV per cell. For the relative energy among the computed polymorphs, the calculation gives 161 meV/atom. The energy relative to the elements, uncorrected comes out at -0.146 eV/atom. The density of states at the Fermi level comes out at 0.598 states/eV per atom. Its space group is P2/m (10).